# 1
VASP calculation (PBE-GGA) on a relaxed structure of Mn3BeGe.

```
Mn3BeGe
1.0
4.0346 0.0000 0.0000
0.0000 4.0346 0.0000
0.0000 0.0000 4.0346
Mn Ge Be
3 1 1
Direct
0.0000 0.5000 0.0000 Mn
0.0000 0.0000 0.5000 Mn
0.5000 0.0000 0.0000 Mn
0.5000 0.5000 0.5000 Ge
0.0000 0.0000 0.0000 Be
```

Summary:
Symmetry: Pm-3m (221)
Formation energy, eV/atom: 0.42
Crystal system: cubic

=====

# 2
VASP calculation (PBE-GGA) on a relaxed structure of MnBe3Ge.

```
MnBe3Ge
1.0
4.1972 0.0000 0.0000
0.0000 4.1972 0.0000
0.0000 0.0000 4.1972
Ge Be Mn
1 3 1
Direct
0.0000 0.0000 0.0000 Ge
0.0000 0.0000 0.5000 Be
0.5000 0.0000 0.0000 Be
0.0000 0.5000 0.0000 Be
0.5000 0.5000 0.5000 Mn
```

Summary:
Symmetry: Pm-3m (221)
Formation energy, eV/atom: 1.39
Crystal system: cubic

=====

# 3
VASP calculation (PBE-GGA) on a relaxed structure of Mn2Be2Ge.

```
Mn2Be2Ge
1.0
6.0050 0.0000 0.0000
0.0000 6.0050 0.0000
0.0000 0.0000 3.0981
Mn Ge Be
4 2 4
Direct
0.6400 0.1400 0.0000 Mn
0.8600 0.6400 0.0000 Mn
0.3600 0.8600 0.0000 Mn
0.1400 0.3600 0.0000 Mn
0.5000 0.5000 0.0000 Ge
0.0000 0.0000 0.0000 Ge
0.1498 0.6498 0.5000 Be
0.8502 0.3502 0.5000 Be
0.3502 0.1498 0.5000 Be
0.6498 0.8502 0.5000 Be
```

Summary:
Symmetry: P4/mbm (127)
Formation energy, eV/atom: 0.11
Crystal system: tetragonal

=====

# 4
VASP calculation (PBE-GGA) on a relaxed structure of MnBe4Ge.

```
MnBe4Ge
1.0
-2.1290 3.6829 0.2025
-4.2120 -0.0071 0.6301
-1.5996 1.3335 3.7149
Be Mn Ge
4 1 1
Direct
0.6274 0.1177 0.6274 Be
0.6274 0.6274 0.6274 Be
0.1177 0.6274 0.6274 Be
0.6274 0.6274 0.1177 Be
0.0000 0.0000 0.0000 Mn
0.2500 0.2500 0.2500 Ge
```

Summary:
Symmetry: F-43m (216)
Formation energy, eV/atom: 0.00
Crystal system: cubic

=====

Among the records above, which one has the lowest formation energy?
MnBe4Ge